Entry 1:
A plane-wave DFT calculation with PBE was carried out for crystalline K2BiPOs at its relaxed geometry.

Computed properties:
For the total energy, the calculation gives -19.92 eV/f.u. The formation energy is 2.79 eV per formula unit. The value obtained for the density of states at the Fermi level is 0.7131 states/eV per atom.

Cell: 6.503 6.503 4.400 Å, 90.00 90.00 90.00°
Atoms (fractional coordinates):
K 0.000 0.500 0.000
K 0.500 0.000 0.000
Bi 0.000 0.000 0.500
P 0.500 0.500 0.500
Os 0.500 0.500 0.000


Entry 2:
A plane-wave DFT calculation with PBE was carried out for crystalline K2ReBiOs at its relaxed geometry.

Computed properties:
For the total energy, the calculation gives -19.99 eV/f.u. The formation energy is 9.76 eV per formula unit. The value obtained for the density of states at the Fermi level is 0.9615 states/eV per atom.

Cell: 6.257 6.257 5.134 Å, 90.00 90.00 90.00°
Atoms (fractional coordinates):
K 0.000 0.500 0.000
K 0.500 0.000 0.000
Re 0.000 0.000 0.500
Bi 0.500 0.500 0.500
Os 0.500 0.500 0.000


Entry 3:
A plane-wave DFT calculation with PBE was carried out for crystalline K2BiOsS at its relaxed geometry.

Computed properties:
Its formation energy from raw total energies is 35.2 kJ/mol of atoms. For the total energy, the calculation gives -19.61 eV/f.u. The value obtained for the density of states at the Fermi level is 0.7771 states/eV per atom.

Cell: 6.762 6.762 4.255 Å, 90.00 90.00 90.00°
Atoms (fractional coordinates):
K 0.000 0.500 0.000
K 0.500 0.000 0.000
Bi 0.000 0.000 0.500
Os 0.500 0.500 0.000
S 0.500 0.500 0.500


Entry 4:
A plane-wave DFT calculation with PBE was carried out for crystalline KSrBiOs2 at its relaxed geometry.

Computed properties:
For the total energy, the calculation gives -17.59 eV/f.u. The formation energy is 11.53 eV per formula unit. The value obtained for the density of states at the Fermi level is 1.4749 states/eV per atom.

Cell: 5.543 5.543 6.128 Å, 90.00 90.00 90.00°
Atoms (fractional coordinates):
K 0.000 0.000 0.000
Sr 0.500 0.500 0.500
Bi 0.500 0.500 0.000
Os 0.000 0.500 0.500
Os 0.500 0.000 0.500